## Cs3KTc2O8 (PBE)

Data for a relaxed Cs3KTc2O8 crystal.

Unit cell a=6.591 b=6.591 c=8.526 alpha=90.00 beta=90.00 gamma=120.00
Last column: magnetic moment on the atom in μB.
Atoms (fractional coordinates):
Cs  0.333  0.667  0.671  0.00
Cs  0.667  0.333  0.329  0.00
Cs  0.000  0.000  0.000  0.00
K  0.000  0.000  0.500  0.00
Tc  0.333  0.667  0.220  0.64
Tc  0.667  0.333  0.780  0.64
O  0.333  0.667  0.012  0.05
O  0.667  0.333  0.988  0.05
O  0.186  0.814  0.296  0.06
O  0.814  0.186  0.704  0.06
O  0.186  0.372  0.296  0.06
O  0.814  0.628  0.704  0.06
O  0.628  0.814  0.296  0.06
O  0.372  0.186  0.704  0.06

Output
total moment	0.143	μB per atom
DFT total energy	-6.26	eV per atom
raw formation energy	-1.689	eV/atom
volume	320.8	Å³/f.u.

=====

## CsK2Tc2O7 (PBE)

Data for a relaxed CsK2Tc2O7 crystal.

Unit cell a=6.865 b=6.865 c=9.070 alpha=67.76 beta=67.76 gamma=60.00
Last column: magnetic moment on the atom in μB.
Atoms (fractional coordinates):
Cs  0.500  0.500  0.500  0.00
K  0.775  0.775  0.676  0.00
K  0.225  0.225  0.324  0.00
Tc  0.924  0.924  0.227  0.33
Tc  0.076  0.076  0.773  0.33
O  0.147  0.902  0.298  0.05
O  0.653  0.147  0.298  0.05
O  0.902  0.653  0.298  0.05
O  0.347  0.098  0.702  0.05
O  0.853  0.347  0.702  0.05
O  0.000  0.000  0.000  -0.03
O  0.098  0.853  0.702  0.05

Output
total moment	0.090	μB per atom
DFT total energy	-6.41	eV per atom
raw formation energy	-1.533	eV/atom
volume	333.0	Å³/f.u.

=====

## CsK2TcO4 (PBE)

Data for a relaxed CsK2TcO4 crystal.

Unit cell a=6.583 b=6.583 c=6.194 alpha=122.07 beta=122.07 gamma=90.05
Last column: magnetic moment on the atom in μB.
Atoms (fractional coordinates):
Cs  0.000  0.000  0.000  0.01
K  0.750  0.250  0.500  0.01
K  0.250  0.750  0.500  0.01
Tc  0.500  0.500  0.000  1.34
O  0.543  0.543  0.751  0.10
O  0.458  0.792  0.249  0.10
O  0.792  0.458  0.249  0.10
O  0.208  0.208  0.751  0.10

Output
total moment	0.250	μB per atom
DFT total energy	-5.70	eV per atom
raw formation energy	-1.549	eV/atom
volume	177.2	Å³/f.u.

=====

## Cs2KTc2O6 (PBE)

Data for a relaxed Cs2KTc2O6 crystal.

Unit cell a=6.666 b=6.666 c=7.938 alpha=65.17 beta=65.17 gamma=60.00
Last column: magnetic moment on the atom in μB.
Atoms (fractional coordinates):
Cs  0.790  0.790  0.630  0.00
Cs  0.210  0.210  0.370  0.00
K  0.000  0.000  0.000  0.00
Tc  0.411  0.411  0.767  0.36
Tc  0.589  0.589  0.233  0.36
O  0.733  0.733  0.258  0.03
O  0.276  0.733  0.258  0.03
O  0.733  0.276  0.258  0.03
O  0.267  0.724  0.742  0.03
O  0.724  0.267  0.742  0.03
O  0.267  0.267  0.742  0.03

Output
total moment	0.094	μB per atom
DFT total energy	-6.26	eV per atom
raw formation energy	-1.421	eV/atom
volume	267.2	Å³/f.u.

=====

## Cs3KTe2O9 (PBE)

Data for a relaxed Cs3KTe2O9 crystal.

Unit cell a=6.261 b=6.261 c=7.999 alpha=90.00 beta=90.00 gamma=120.00
Last column: magnetic moment on the atom in μB.
Atoms (fractional coordinates):
Cs  0.333  0.667  0.653  0.00
Cs  0.000  0.000  0.000  0.02
Cs  0.667  0.333  0.347  0.00
K  0.000  0.000  0.500  0.00
Te  0.333  0.667  0.148  -0.03
Te  0.667  0.333  0.852  -0.03
O  0.812  0.188  0.721  0.24
O  0.812  0.624  0.721  0.24
O  0.376  0.188  0.721  0.24
O  0.624  0.812  0.279  0.24
O  0.188  0.376  0.279  0.24
O  0.188  0.812  0.279  0.24
O  0.500  0.000  0.000  0.16
O  0.000  0.500  0.000  0.16
O  0.500  0.500  0.000  0.16

Output
total moment	0.155	μB per atom
DFT total energy	-4.70	eV per atom
raw formation energy	-1.062	eV/atom
volume	271.6	Å³/f.u.

=====

## Cs2K2TeO5 (PBE)

Data for a relaxed Cs2K2TeO5 crystal.

Unit cell a=9.372 b=9.372 c=9.694 alpha=90.00 beta=90.00 gamma=90.00
Atoms (fractional coordinates):
Cs  0.162  0.838  0.000
Cs  0.838  0.162  0.000
Cs  0.662  0.662  0.500
Cs  0.338  0.338  0.500
Cs  0.000  0.500  0.250
Cs  0.000  0.500  0.750
Cs  0.500  0.000  0.250
Cs  0.500  0.000  0.750
K  0.125  0.125  0.714
K  0.875  0.875  0.714
K  0.375  0.625  0.214
K  0.625  0.375  0.214
K  0.375  0.625  0.786
K  0.625  0.375  0.786
K  0.125  0.125  0.286
K  0.875  0.875  0.286
O  0.769  0.502  0.000
O  0.231  0.498  0.000
O  0.998  0.269  0.500
O  0.002  0.731  0.500
O  0.731  0.002  0.500
O  0.269  0.998  0.500
O  0.502  0.769  0.000
O  0.498  0.231  0.000
O  0.321  0.321  0.201
O  0.679  0.679  0.201
O  0.179  0.821  0.701
O  0.821  0.179  0.701
O  0.179  0.821  0.299
O  0.821  0.179  0.299
O  0.321  0.321  0.799
O  0.679  0.679  0.799
O  0.835  0.835  0.000
O  0.165  0.165  0.000
O  0.665  0.335  0.500
O  0.335  0.665  0.500
Te  0.308  0.308  0.000
Te  0.692  0.692  0.000
Te  0.192  0.808  0.500
Te  0.808  0.192  0.500

Output
total moment	0.000	μB per atom
DFT total energy	-4.63	eV per atom
raw formation energy	-1.449	eV/atom
volume	212.9	Å³/f.u.

=====

Question: The highest raw formation energy belongs to which entry?
Answer: Cs3KTe2O9

=====

What did the third record say?
## CsK2TcO4 (PBE)

Data for a relaxed CsK2TcO4 crystal.

Unit cell a=6.583 b=6.583 c=6.194 alpha=122.07 beta=122.07 gamma=90.05
Last column: magnetic moment on the atom in μB.
Atoms (fractional coordinates):
Cs  0.000  0.000  0.000  0.01
K  0.750  0.250  0.500  0.01
K  0.250  0.750  0.500  0.01
Tc  0.500  0.500  0.000  1.34
O  0.543  0.543  0.751  0.10
O  0.458  0.792  0.249  0.10
O  0.792  0.458  0.249  0.10
O  0.208  0.208  0.751  0.10

Output
total moment	0.250	μB per atom
DFT total energy	-5.70	eV per atom
raw formation energy	-1.549	eV/atom
volume	177.2	Å³/f.u.

=====

Question: Which value of DFT total energy does entry 6 give?
Answer: -4.63 eV per atom

=====

Question: Among the records above, which one has the highest raw formation energy?
Answer: Cs3KTe2O9